This record from the Alexandria database describes Th6TeRh2C3 after structural relaxation. The functional is GGA-PBE.

Summary:
For the total energy, the calculation gives -0.2956 hartree per atom. For the density, the calculation gives 10.8 g/cm³. Its total moment is 0.0 μB per formula unit. For the raw formation energy, the calculation gives -542.1 meV per atom.

Unit cell a=18.038 b=3.850 c=8.316 alpha=90.00 beta=109.86 gamma=90.00
Space group C2/m (No. 12)
Symmetry-distinct sites (fractional):
Th (0.005, 0.000, 0.213)
Th (0.153, 0.500, 0.109)
Th (0.184, 0.500, 0.586)
Te (0.000, 0.500, 0.500)
Rh (0.189, 0.000, 0.869)
C (0.000, 0.500, 0.000)
C (0.161, 0.000, 0.345)